# 1
## CdGeSbTe2 (PBE-GGA)

Data for a relaxed CdGeSbTe2 crystal.

Summary:
- Energy relative to the lowest polymorph listed for this composition: 0 meV/atom

```
CdGeSbTe2
1.0
-2.754 -4.647 0.165
1.392 -1.006 -5.124
4.491 -2.601 1.730
Sb Ge Te Cd
1 1 2 1
Direct
0.000 0.000 0.500 Sb
0.000 0.000 0.000 Ge
0.000 0.500 0.000 Te
0.500 0.000 0.000 Te
0.500 0.500 0.500 Cd
```

***

# 2
## CdGeSbTe2 (PBE-GGA)

Data for a relaxed CdGeSbTe2 crystal.

Summary:
- Energy relative to the lowest polymorph listed for this composition: 269 meV/atom

```
CdGeSbTe2
1.0
-4.697 2.980 -0.479
-2.487 -3.319 3.737
1.667 3.272 4.016
Sb Ge Te Cd
1 1 2 1
Direct
0.000 0.000 0.500 Sb
0.500 0.500 0.500 Ge
0.000 0.500 0.000 Te
0.500 0.000 0.000 Te
0.000 0.000 0.000 Cd
```

***

# 3
## CdGeSb2Te (PBE-GGA)

Data for a relaxed CdGeSb2Te crystal.

Summary:
- Energy relative to the lowest polymorph listed for this composition: 276 meV/atom

```
CdGeSb2Te
1.0
5.432 0.000 0.000
0.000 5.432 0.000
0.000 0.000 5.663
Sb Ge Te Cd
2 1 1 1
Direct
0.000 0.500 0.000 Sb
0.500 0.000 0.000 Sb
0.500 0.500 0.500 Ge
0.000 0.000 0.500 Te
0.000 0.000 0.000 Cd
```

***

Question: Among the records above, which one has the lowest energy relative to the lowest polymorph listed for this composition?
Answer: number 1

***

Repeat the third record exactly.
## CdGeSb2Te (PBE-GGA)

Data for a relaxed CdGeSb2Te crystal.

Summary:
- Energy relative to the lowest polymorph listed for this composition: 276 meV/atom

```
CdGeSb2Te
1.0
5.432 0.000 0.000
0.000 5.432 0.000
0.000 0.000 5.663
Sb Ge Te Cd
2 1 1 1
Direct
0.000 0.500 0.000 Sb
0.500 0.000 0.000 Sb
0.500 0.500 0.500 Ge
0.000 0.000 0.500 Te
0.000 0.000 0.000 Cd
```

***

Question: Which of these has the lowest energy relative to the lowest polymorph listed for this composition?
Answer: number 1